[1]
Ca2HfBr PBE-GGA optimized geometry; spin magnetization = 0.00 μB per formula unit; energy relative to the lowest polymorph listed for this composition = 0.0000 eV per atom; N(E_F) = 1.88 states/eV per atom; density = 4.54 g/cm³
1.0
-7.958 2.309 -2.330
-2.977 -2.516 7.674
-4.932 2.964 3.886
Ca Hf Br
4 2 2
Direct
0.574 0.125 0.250 Ca
0.176 0.625 0.250 Ca
0.375 0.426 0.750 Ca
0.875 0.824 0.750 Ca
0.000 0.000 0.000 Hf
0.750 0.250 0.500 Hf
0.500 0.500 0.000 Br
0.250 0.750 0.500 Br

=====

[2]
HoPa2Sn9 PBE-GGA optimized geometry; spin magnetization = 0.00 μB per formula unit; ΔH_f (0 K) = -0.328 eV/atom; N(E_F) = 0.95 states/eV per atom; density = 9.26 g/cm³
1.0
-2.555 -1.677 -3.517
3.516 -2.803 -1.218
-5.043 -9.988 8.425
Ho Pa Sn
1 2 9
Direct
0.000 0.000 0.000 Ho
0.000 0.000 0.337 Pa
0.000 0.000 0.663 Pa
0.500 0.500 0.000 Sn
0.500 0.500 0.334 Sn
0.500 0.500 0.666 Sn
0.500 0.000 0.168 Sn
0.500 0.000 0.500 Sn
0.500 0.000 0.832 Sn
0.000 0.500 0.168 Sn
0.000 0.500 0.500 Sn
0.000 0.500 0.832 Sn

=====

[3]
Tm6Cd2Ru PBE-GGA optimized geometry; spin magnetization = 0.00 μB per formula unit; ΔH_f (0 K) = -0.258 eV/atom; N(E_F) = 1.26 states/eV per atom; density = 9.45 g/cm³
1.0
-1.164 1.772 3.126
-4.861 5.118 -4.712
-3.148 -7.297 2.965
Tm Cd Ru
6 2 1
Direct
0.500 0.610 0.000 Tm
0.500 0.390 0.390 Tm
0.500 0.000 0.610 Tm
0.000 0.243 0.000 Tm
0.000 0.757 0.757 Tm
0.000 0.000 0.243 Tm
0.000 0.333 0.667 Cd
0.000 0.667 0.333 Cd
0.500 0.001 0.000 Ru

=====

[4]
GaPO PBE-GGA optimized geometry; spin magnetization = 0.00 μB per formula unit; energy relative to the lowest polymorph listed for this composition = 0.0625 eV per atom; N(E_F) = 0.00 states/eV per atom; density = 3.48 g/cm³
1.0
-0.023 -3.224 2.487
4.022 2.947 1.626
-4.529 3.202 1.731
Ga P O
2 2 2
Direct
0.625 0.514 0.599 Ga
0.896 0.761 0.043 Ga
0.848 0.180 0.403 P
0.485 0.749 0.292 P
0.920 0.164 0.146 O
0.209 0.228 0.610 O

=====

[5]
LaZrTi2Al PBE-GGA optimized geometry; spin magnetization = 0.88 μB per formula unit; ΔH_f (0 K) = 1.001 eV/atom; N(E_F) = 2.09 states/eV per atom; density = 4.39 g/cm³
1.0
4.890 0.000 0.000
0.000 5.577 0.000
0.000 0.000 4.890
Ti Al Zr La
2 1 1 1
Direct
0.000 0.000 0.500 Ti
0.500 0.000 0.000 Ti
0.500 0.500 0.500 Al
0.000 0.000 0.000 Zr
0.000 0.500 0.000 La

=====

[6]
EuEr2O PBE-GGA optimized geometry; spin magnetization = 7.38 μB per formula unit; total DFT energy (no corrections) = -7.29 eV/atom; N(E_F) = 0.68 states/eV per atom; density = 8.50 g/cm³
1.0
3.481 0.000 0.000
1.740 3.014 0.000
1.740 1.005 9.361
Eu O Er
1 1 2
Direct
0.000 0.000 0.000 Eu
0.500 0.500 0.500 O
0.121 0.121 0.638 Er
0.879 0.879 0.362 Er

=====

[7]
Na2Ho2PbO6 PBE-GGA optimized geometry; spin magnetization = 0.00 μB per formula unit; total DFT energy (no corrections) = -6.37 eV/atom; N(E_F) = 0.00 states/eV per atom; density = 6.60 g/cm³
1.0
5.910 -0.041 0.113
-2.957 5.117 0.113
-0.999 -1.716 5.597
Na Ho Pb O
2 2 1 6
Direct
0.837 0.163 0.000 Na
0.163 0.837 0.000 Na
0.335 0.665 0.500 Ho
0.665 0.335 0.500 Ho
0.000 0.000 0.500 Pb
0.748 0.748 0.703 O
0.051 0.392 0.702 O
0.252 0.252 0.297 O
0.392 0.051 0.702 O
0.949 0.608 0.298 O
0.608 0.949 0.298 O

=====

[8]
CdInSnBi PBE-GGA optimized geometry; spin magnetization = 0.00 μB per formula unit; ΔH_f (0 K) = 0.106 eV/atom; energy relative to the lowest polymorph listed for this composition = 0.0407 eV per atom; N(E_F) = 1.03 states/eV per atom; density = 8.04 g/cm³
1.0
5.451 0.000 0.000
2.726 4.721 0.000
2.726 1.574 4.451
Cd In Bi Sn
1 1 1 1
Direct
0.750 0.750 0.750 Cd
0.500 0.500 0.500 In
0.250 0.250 0.250 Bi
0.000 0.000 0.000 Sn